NaSr2AuO: optimized geometry, PBE.

Properties
**E**: -3.842 eV per atom
**E_form (uncorrected)**: -1.258 eV/atom
**V**: 24.4 Å³ per atom
**Magnetization**: 0.00 μB/f.u.
**Distance to the lowest polymorph of the same formula**: 0 meV/atom

a b c (Å): 5.0930 5.0930 4.7067
angles (deg): 90.00 90.00 90.00
Last column: nearest neighbours and their distance in Å.
Sites, in units of the cell vectors:
Sr 0.5000 0.0000 0.0000  2 O 2.55
Sr 0.0000 0.5000 0.0000  2 O 2.55
O 0.0000 0.0000 0.0000  2 Na 2.35, 4 Sr 2.55
Au 0.5000 0.5000 0.5000  8 Sr 3.47, 4 Na 3.60
Na 0.0000 0.0000 0.5000  2 O 2.35


Ce2LuHg: optimized geometry, PBE.

Properties
**E**: -4.227 eV per atom
**V**: 28.4 Å³ per atom
**Magnetization**: 2.15 μB/f.u.
**Distance to the lowest polymorph of the same formula**: 69 meV/atom

a b c (Å): 3.3917 3.3917 9.8847
angles (deg): 90.00 90.00 90.00
Last column: nearest neighbours and their distance in Å.
Sites, in units of the cell vectors:
Lu 0.5000 0.5000 0.5000  4 Lu 3.39, 8 Ce 3.56
Ce 0.0000 0.0000 0.2340  4 Hg 3.33, 4 Ce 3.39, 4 Lu 3.56
Ce 0.0000 0.0000 0.7660  4 Hg 3.33, 4 Ce 3.39, 4 Lu 3.56
Hg 0.5000 0.5000 0.0000  8 Ce 3.33, 4 Hg 3.39


NaPaAlSe4: optimized geometry, PBE.

Properties
**E**: -5.141 eV per atom
**E_form (uncorrected)**: -1.070 eV/atom
**V**: 27.8 Å³ per atom
**Magnetization**: 0.92 μB/f.u.

a b c (Å): 8.6126 8.2109 7.7749
angles (deg): 118.26 90.00 121.63
Last column: nearest neighbours and their distance in Å.
Sites, in units of the cell vectors:
Pa 0.0000 0.5000 0.5000  6 Se 2.86-2.89
Pa 0.5000 0.5000 0.5000  6 Se 2.86-2.89
Na 0.0961 0.1923 0.8461  4 Se 2.83
Na 0.9039 0.8077 0.1539  4 Se 2.83
Se 0.3031 0.0080 0.2540  2 Al 2.60, 1 Na 2.83, 1 Pa 2.89
Se 0.2663 0.5327 0.7567  1 Al 2.72, 1 Na 2.83, 2 Pa 2.86
Se 0.2663 0.5327 0.2760  1 Al 2.72, 1 Na 2.83, 2 Pa 2.86
Se 0.6969 0.9920 0.7460  2 Al 2.60, 1 Na 2.83, 1 Pa 2.89
Se 0.7336 0.4673 0.7240  1 Al 2.72, 1 Na 2.83, 2 Pa 2.86
Se 0.7049 0.0080 0.2540  2 Al 2.60, 1 Na 2.83, 1 Pa 2.89
Se 0.2951 0.9920 0.7460  2 Al 2.60, 1 Na 2.83, 1 Pa 2.89
Se 0.7336 0.4673 0.2433  1 Al 2.72, 1 Na 2.83, 2 Pa 2.86
Al 0.5000 0.0000 0.5000  6 Se 2.60-2.72
Al 0.5000 0.0000 0.0000  6 Se 2.60-2.72


RbUTl2Cl6: optimized geometry, PBE.

Properties
**E**: -4.300 eV per atom
**E_form (uncorrected)**: -1.494 eV/atom
**V**: 37.6 Å³ per atom
**Magnetization**: 3.00 μB/f.u.

a b c (Å): 7.9699 7.9723 8.2412
angles (deg): 61.07 61.07 59.98
Last column: nearest neighbours and their distance in Å.
Sites, in units of the cell vectors:
Cl 0.2063 0.9806 0.2445  1 U 2.76
Cl 0.5689 0.2064 0.2443  1 U 2.76
Cl 0.1359 0.4165 0.7765  1 U 2.77
Cl 0.4165 0.6710 0.7762  1 U 2.78
Cl 0.9805 0.5690 0.2443  1 U 2.76
Cl 0.6712 0.1358 0.7766  1 U 2.77
U 0.3213 0.3213 0.0361  6 Cl 2.76-2.78
Tl 0.0205 0.0204 0.9387  6 Cl 3.20-3.32
Tl 0.5288 0.5287 0.4138  6 Cl 3.27-3.30
Rb 0.8118 0.8119 0.5644  6 Cl 3.25-3.38


LiTaTe2: optimized geometry, PBE.

Properties
**E**: -5.194 eV per atom
**E_form (uncorrected)**: -0.182 eV/atom
**V**: 24.6 Å³ per atom
**Magnetization**: 0.00 μB/f.u.

a b c (Å): 3.7101 3.7101 7.1591
angles (deg): 90.00 90.00 90.00
Last column: nearest neighbours and their distance in Å.
Sites, in units of the cell vectors:
Ta 0.5000 0.5000 0.7372  5 Te 2.64-2.88
Te 0.0000 0.0000 0.9023  4 Ta 2.88, 1 Li 2.93
Te 0.5000 0.5000 0.3682  1 Ta 2.64, 4 Li 2.77
Li 0.0000 0.0000 0.4924  5 Te 2.77-2.93


PmNd3Dy2S6: optimized geometry, PBE.

Properties
**E**: -6.439 eV per atom
**E_form (uncorrected)**: -2.021 eV/atom
**V**: 22.8 Å³ per atom
**Magnetization**: 0.00 μB/f.u.

a b c (Å): 6.9312 6.9312 6.9743
angles (deg): 99.51 99.51 120.15
Last column: nearest neighbours and their distance in Å.
Sites, in units of the cell vectors:
S 0.4205 0.0797 0.2395  2 Dy 2.77-2.78, 1 Pm 2.84, 3 Nd 2.86-2.90
S 0.2619 0.2619 0.7634  2 Dy 2.76, 1 Pm 2.83, 3 Nd 2.84-2.88
S 0.9203 0.5795 0.7605  2 Dy 2.77-2.78, 1 Pm 2.84, 3 Nd 2.86-2.90
S 0.0797 0.4205 0.2395  2 Dy 2.77-2.78, 1 Pm 2.84, 3 Nd 2.86-2.90
S 0.7381 0.7381 0.2366  2 Dy 2.76, 1 Pm 2.83, 3 Nd 2.84-2.88
S 0.5795 0.9203 0.7605  2 Dy 2.77-2.78, 1 Pm 2.84, 3 Nd 2.86-2.90
Dy 0.6664 0.3336 0.0000  6 S 2.76-2.78
Dy 0.3336 0.6664 0.0000  6 S 2.76-2.78
Nd 0.5000 0.5000 0.5000  6 S 2.84-2.90
Nd 0.8368 0.1632 0.5000  6 S 2.86-2.90
Nd 0.1632 0.8368 0.5000  6 S 2.86-2.90
Pm 0.0000 0.0000 0.0000  6 S 2.83-2.84


Li2Tb3Au3: optimized geometry, PBE.

Properties
**E**: -4.099 eV per atom
**V**: 22.5 Å³ per atom
**Magnetization**: 0.00 μB/f.u.

a b c (Å): 5.6035 8.6069 8.6069
angles (deg): 120.00 90.00 90.00
Last column: nearest neighbours and their distance in Å.
Sites, in units of the cell vectors:
Tb 0.2500 0.2550 0.2550  5 Au 3.00-3.06
Tb 0.7500 0.7450 0.7450  5 Au 3.00-3.06
Tb 0.2500 0.7450 0.0000  5 Au 3.00-3.06
Tb 0.7500 0.0000 0.2550  5 Au 3.00-3.06
Tb 0.2500 0.0000 0.7450  5 Au 3.00-3.06
Tb 0.7500 0.2550 0.0000  5 Au 3.00-3.06
Au 0.2500 0.3967 0.0000  4 Li 2.99, 5 Tb 3.00-3.06, 2 Au 3.32
Au 0.2500 0.6033 0.6033  4 Li 2.99, 5 Tb 3.00-3.06, 2 Au 3.32
Au 0.2500 0.0000 0.3967  4 Li 2.99, 5 Tb 3.00-3.06, 2 Au 3.32
Au 0.7500 0.0000 0.6033  4 Li 2.99, 5 Tb 3.00-3.06, 2 Au 3.32
Au 0.7500 0.6033 0.0000  4 Li 2.99, 5 Tb 3.00-3.06, 2 Au 3.32
Au 0.7500 0.3967 0.3967  4 Li 2.99, 5 Tb 3.00-3.06, 2 Au 3.32
Li 0.5000 0.6667 0.3333  2 Li 2.80, 6 Au 2.99
Li 0.0000 0.6667 0.3333  2 Li 2.80, 6 Au 2.99
Li 0.0000 0.3333 0.6667  2 Li 2.80, 6 Au 2.99
Li 0.5000 0.3333 0.6667  2 Li 2.80, 6 Au 2.99


NaPm2Hg4Pb: optimized geometry, PBE.

Properties
**E**: -2.343 eV per atom
**V**: 26.1 Å³ per atom
**Magnetization**: 0.00 μB/f.u.

a b c (Å): 5.2921 5.2921 9.1420
angles (deg): 73.18 73.18 60.00
Last column: nearest neighbours and their distance in Å.
Sites, in units of the cell vectors:
Hg 0.1315 0.1315 0.6056  4 Pm 3.16-3.34, 3 Na 3.19, 1 Pb 3.40
Hg 0.6183 0.6183 0.1452  1 Na 3.06, 4 Pm 3.16-3.31, 3 Pb 3.30
Hg 0.8685 0.8685 0.3944  4 Pm 3.16-3.34, 3 Na 3.19, 1 Pb 3.40
Hg 0.3817 0.3817 0.8548  1 Na 3.06, 4 Pm 3.16-3.31, 3 Pb 3.30
Pb 0.0000 0.0000 0.0000  8 Hg 3.30-3.40, 6 Pm 3.68
Na 0.5000 0.5000 0.5000  8 Hg 3.06-3.19
Pm 0.7461 0.7461 0.7616  8 Hg 3.16-3.34
Pm 0.2539 0.2539 0.2384  8 Hg 3.16-3.34


Hf2TlCo: optimized geometry, PBE.

Properties
**E**: -7.230 eV per atom
**V**: 19.3 Å³ per atom
**Magnetization**: 1.95 μB/f.u.
**Distance to the lowest polymorph of the same formula**: 219 meV/atom

a b c (Å): 4.7807 4.7807 4.7807
angles (deg): 60.00 60.00 60.00
Last column: nearest neighbours and their distance in Å.
Sites, in units of the cell vectors:
Co 0.0000 0.0000 0.0000  8 Hf 2.93
Hf 0.7500 0.7500 0.7500  4 Tl 2.93, 4 Co 2.93
Hf 0.2500 0.2500 0.2500  4 Tl 2.93, 4 Co 2.93
Tl 0.5000 0.5000 0.5000  8 Hf 2.93


Which formula does entry 9 have? Hf2TlCo


Repeat the second record exactly.
Ce2LuHg: optimized geometry, PBE.

Properties
**E**: -4.227 eV per atom
**V**: 28.4 Å³ per atom
**Magnetization**: 2.15 μB/f.u.
**Distance to the lowest polymorph of the same formula**: 69 meV/atom

a b c (Å): 3.3917 3.3917 9.8847
angles (deg): 90.00 90.00 90.00
Last column: nearest neighbours and their distance in Å.
Sites, in units of the cell vectors:
Lu 0.5000 0.5000 0.5000  4 Lu 3.39, 8 Ce 3.56
Ce 0.0000 0.0000 0.2340  4 Hg 3.33, 4 Ce 3.39, 4 Lu 3.56
Ce 0.0000 0.0000 0.7660  4 Hg 3.33, 4 Ce 3.39, 4 Lu 3.56
Hg 0.5000 0.5000 0.0000  8 Ce 3.33, 4 Hg 3.39